The following is a DFT calculation (PBE) of a relaxed structure of Ca2SnMo2.

It has space group I4/mmm (No. 139), with a = 3.5518 Å, b = 3.5518 Å, c = 20.4730 Å, α = 90.00°, β = 90.00° and γ = 90.00°. The inequivalent atoms are Ca at (0.0000, 0.0000, 0.1106), Sn at (0.0000, 0.0000, 0.5000) and Mo at (0.0000, 0.5000, 0.2500).

Its crystal system is tetragonal. The offset from the most stable computed form is 0.000 eV/atom. Its formation energy is 217 meV/atom. Its calculated density is 5.0 g/cm³.


The following is a DFT calculation (PBE) of a relaxed structure of CaSn3Mo.

It has space group Pm-3m (No. 221), with a = 5.2847 Å, b = 5.2847 Å, c = 5.2847 Å, α = 90.00°, β = 90.00° and γ = 90.00°. The inequivalent atoms are Ca at (0.0000, 0.0000, 0.0000), Sn at (0.0000, 0.5000, 0.5000) and Mo at (0.5000, 0.5000, 0.5000).

Its crystal system is cubic. Its formation energy is 96 meV/atom. Its calculated density is 5.5 g/cm³.


The following is a DFT calculation (PBE) of a relaxed structure of CaVSnMo2.

It has space group P4/mmm (No. 123), with a = 4.5429 Å, b = 4.5429 Å, c = 5.2612 Å, α = 90.00°, β = 90.00° and γ = 90.00°. The inequivalent atoms are Ca at (0.0000, 0.0000, 0.0000), V at (0.5000, 0.5000, 0.5000), Sn at (0.0000, 0.0000, 0.5000) and Mo at (0.0000, 0.5000, 0.0000).

Its crystal system is tetragonal. Its formation energy is 2485 meV/atom. Its calculated density is 6.1 g/cm³.


The following is a DFT calculation (PBE) of a relaxed structure of SrCaMo4.

It has space group F-43m (No. 216), with a = 7.9289 Å, b = 7.9289 Å, c = 7.9289 Å, α = 90.00°, β = 90.00° and γ = 90.00°. The inequivalent atoms are Sr at (0.0000, 0.0000, 0.0000), Ca at (0.2500, 0.2500, 0.7500) and Mo at (0.1251, 0.1251, 0.3749).

Its crystal system is cubic. Its formation energy is 647 meV/atom. Its calculated density is 6.8 g/cm³.